# 1
# KTlCu2 (GGA-PBE, optimized geometry)
# Crystal system: monoclinic
# DFT formation energy (eV per atom): 0.15
# Energy above the most stable polymorph in this dataset (meV/atom): 0
# VASP energy (eV/atom): -2.767
data_KTlCu2
_cell_length_a 7.9304
_cell_length_b 4.5846
_cell_length_c 6.6460
_cell_angle_alpha 90.00
_cell_angle_beta 114.04
_cell_angle_gamma 90.00
_space_group_name_H-M_alt 'C 1 2/m 1'
_space_group_IT_number 12
loop_
_space_group_symop_operation_xyz
'x,y,z'
'-x,-y,-z'
'-x,y,-z'
'x,-y,z'
'x+1/2,y+1/2,z'
'-x+1/2,-y+1/2,-z'
'-x+1/2,y+1/2,-z'
'x+1/2,-y+1/2,z'
loop_
_atom_site_label
_atom_site_fract_x
_atom_site_fract_y
_atom_site_fract_z
K1 0.0000 0.0000 0.0000
Tl1 0.0000 0.5000 0.5000
Cu1 0.1761 0.0000 0.5284


# 2
# KTl2Cu (GGA-PBE, optimized geometry)
# Crystal system: orthorhombic
# DFT formation energy (eV per atom): 0.34
# VASP energy (eV/atom): -2.138
data_KTl2Cu
_cell_length_a 6.5068
_cell_length_b 10.2505
_cell_length_c 3.4605
_cell_angle_alpha 90.00
_cell_angle_beta 90.00
_cell_angle_gamma 90.00
_space_group_name_H-M_alt 'C m m m'
_space_group_IT_number 65
_space_group_name_Hall '-C 2 2'
loop_
_atom_site_label
_atom_site_fract_x
_atom_site_fract_y
_atom_site_fract_z
K1 0.0000 0.0000 0.0000
Tl1 0.2500 0.2500 0.5000
Cu1 0.0000 0.5000 0.0000


# 3
# KTl2Cu (GGA-PBE, optimized geometry)
# Crystal system: tetragonal
# DFT formation energy (eV per atom): 0.09
# VASP energy (eV/atom): -2.392
data_KTl2Cu
_cell_length_a 3.5429
_cell_length_b 3.5429
_cell_length_c 8.5538
_cell_angle_alpha 90.00
_cell_angle_beta 90.00
_cell_angle_gamma 90.00
_space_group_name_H-M_alt 'P 4/m m m'
_space_group_IT_number 123
_space_group_name_Hall '-P 4 2'
loop_
_atom_site_label
_atom_site_fract_x
_atom_site_fract_y
_atom_site_fract_z
K1 0.0000 0.0000 0.0000
Tl1 0.5000 0.5000 0.3114
Cu1 0.0000 0.0000 0.5000


# 4
# KTl3Cu (GGA-PBE, optimized geometry)
# Crystal system: cubic
# DFT formation energy (eV per atom): 1.03
# Energy above the most stable polymorph in this dataset (meV/atom): 954
# VASP energy (eV/atom): -1.428
data_KTl3Cu
_cell_length_a 6.2771
_cell_length_b 6.2771
_cell_length_c 6.2771
_cell_angle_alpha 90.00
_cell_angle_beta 90.00
_cell_angle_gamma 90.00
_space_group_name_H-M_alt 'P m -3 m'
_space_group_IT_number 221
_space_group_name_Hall '-P 4 2 3'
loop_
_atom_site_label
_atom_site_fract_x
_atom_site_fract_y
_atom_site_fract_z
K1 0.0000 0.0000 0.0000
Tl1 0.0000 0.0000 0.5000
Cu1 0.5000 0.5000 0.5000


# 5
# K2TlCu (GGA-PBE, optimized geometry)
# Crystal system: orthorhombic
# DFT formation energy (eV per atom): 0.31
# Energy above the most stable polymorph in this dataset (meV/atom): 204
# VASP energy (eV/atom): -1.859
data_K2TlCu
_cell_length_a 5.1181
_cell_length_b 5.1788
_cell_length_c 10.4472
_cell_angle_alpha 90.00
_cell_angle_beta 90.00
_cell_angle_gamma 90.00
_space_group_name_H-M_alt 'I m m m'
_space_group_IT_number 71
_space_group_name_Hall '-I 2 2'
loop_
_atom_site_label
_atom_site_fract_x
_atom_site_fract_y
_atom_site_fract_z
K1 0.0000 0.0000 0.2482
Tl1 0.0000 0.5000 0.0000
Cu1 0.0000 0.5000 0.5000


# 6
# KTl2Cu2 (GGA-PBE, optimized geometry)
# Crystal system: tetragonal
# DFT formation energy (eV per atom): 0.23
# Energy above the most stable polymorph in this dataset (meV/atom): 78
# VASP energy (eV/atom): -2.572
data_KTl2Cu2
_cell_length_a 8.3828
_cell_length_b 8.3828
_cell_length_c 3.3662
_cell_angle_alpha 90.00
_cell_angle_beta 90.00
_cell_angle_gamma 90.00
_space_group_name_H-M_alt 'P 4/m b m'
_space_group_IT_number 127
_space_group_name_Hall '-P 4 2ab'
loop_
_atom_site_label
_atom_site_fract_x
_atom_site_fract_y
_atom_site_fract_z
K1 0.0000 0.0000 0.0000
Tl1 0.1660 0.3340 0.5000
Cu1 0.1128 0.6128 0.0000


# 7
# KTl2Cu2 (GGA-PBE, optimized geometry)
# Crystal system: tetragonal
# DFT formation energy (eV per atom): 0.27
# Energy above the most stable polymorph in this dataset (meV/atom): 112
# VASP energy (eV/atom): -2.538
data_KTl2Cu2
_cell_length_a 8.5636
_cell_length_b 8.5636
_cell_length_c 3.2520
_cell_angle_alpha 90.00
_cell_angle_beta 90.00
_cell_angle_gamma 90.00
_space_group_name_H-M_alt 'P 4/m b m'
_space_group_IT_number 127
_space_group_name_Hall '-P 4 2ab'
loop_
_atom_site_label
_atom_site_fract_x
_atom_site_fract_y
_atom_site_fract_z
K1 0.0000 0.0000 0.0000
Tl1 0.1355 0.3645 0.0000
Cu1 0.1567 0.6567 0.5000


# 8
# KTlCu2 (GGA-PBE, optimized geometry)
# Crystal system: monoclinic
# DFT formation energy (eV per atom): 0.48
# Energy above the most stable polymorph in this dataset (meV/atom): 335
# VASP energy (eV/atom): -2.432
data_KTlCu2
_cell_length_a 6.9932
_cell_length_b 6.9787
_cell_length_c 3.8077
_cell_angle_alpha 90.00
_cell_angle_beta 90.18
_cell_angle_gamma 90.00
_space_group_name_H-M_alt 'C 1 2/m 1'
_space_group_IT_number 12
loop_
_space_group_symop_operation_xyz
'x,y,z'
'-x,-y,-z'
'-x,y,-z'
'x,-y,z'
'x+1/2,y+1/2,z'
'-x+1/2,-y+1/2,-z'
'-x+1/2,y+1/2,-z'
'x+1/2,-y+1/2,z'
loop_
_atom_site_label
_atom_site_fract_x
_atom_site_fract_y
_atom_site_fract_z
K1 0.0000 0.0000 0.0000
Tl1 0.0000 0.5000 0.0000
Cu1 0.2500 0.2500 0.5000


# 9
# KTlCu3 (GGA-PBE, optimized geometry)
# Crystal system: cubic
# DFT formation energy (eV per atom): 1.36
# Energy above the most stable polymorph in this dataset (meV/atom): 827
# VASP energy (eV/atom): -1.790
data_KTlCu3
_cell_length_a 5.4707
_cell_length_b 5.4707
_cell_length_c 5.4707
_cell_angle_alpha 90.00
_cell_angle_beta 90.00
_cell_angle_gamma 90.00
_space_group_name_H-M_alt 'P m -3 m'
_space_group_IT_number 221
_space_group_name_Hall '-P 4 2 3'
loop_
_atom_site_label
_atom_site_fract_x
_atom_site_fract_y
_atom_site_fract_z
K1 0.0000 0.0000 0.0000
Tl1 0.5000 0.5000 0.5000
Cu1 0.0000 0.0000 0.5000


# 10
# KTlCu2 (GGA-PBE, optimized geometry)
# Crystal system: monoclinic
# DFT formation energy (eV per atom): 0.28
# Energy above the most stable polymorph in this dataset (meV/atom): 131
# VASP energy (eV/atom): -2.636
data_KTlCu2
_cell_length_a 4.0534
_cell_length_b 4.1352
_cell_length_c 6.6031
_cell_angle_alpha 90.00
_cell_angle_beta 107.79
_cell_angle_gamma 90.00
_space_group_name_H-M_alt 'P 1 m 1'
_space_group_IT_number 6
loop_
_space_group_symop_operation_xyz
'x,y,z'
'x,-y,z'
loop_
_atom_site_label
_atom_site_fract_x
_atom_site_fract_y
_atom_site_fract_z
K1 0.0000 0.0000 0.0000
Tl1 0.7107 0.5000 0.4190
Cu1 0.2714 0.0000 0.5306
Cu2 0.3597 0.5000 0.7205


# 11
# KTl2Cu (GGA-PBE, optimized geometry)
# Crystal system: tetragonal
# DFT formation energy (eV per atom): 0.28
# VASP energy (eV/atom): -2.204
data_KTl2Cu
_cell_length_a 4.8165
_cell_length_b 4.8165
_cell_length_c 4.9981
_cell_angle_alpha 90.00
_cell_angle_beta 90.00
_cell_angle_gamma 90.00
_space_group_name_H-M_alt 'P 4/m m m'
_space_group_IT_number 123
_space_group_name_Hall '-P 4 2'
loop_
_atom_site_label
_atom_site_fract_x
_atom_site_fract_y
_atom_site_fract_z
K1 0.0000 0.0000 0.0000
Tl1 0.0000 0.5000 0.5000
Cu1 0.5000 0.5000 0.0000


# 12
# KTl2Cu (GGA-PBE, optimized geometry)
# Crystal system: monoclinic
# DFT formation energy (eV per atom): 0.18
# VASP energy (eV/atom): -2.306
data_KTl2Cu
_cell_length_a 3.7792
_cell_length_b 4.9464
_cell_length_c 6.9935
_cell_angle_alpha 90.00
_cell_angle_beta 105.45
_cell_angle_gamma 90.00
_space_group_name_H-M_alt 'P 1 m 1'
_space_group_IT_number 6
loop_
_space_group_symop_operation_xyz
'x,y,z'
'x,-y,z'
loop_
_atom_site_label
_atom_site_fract_x
_atom_site_fract_y
_atom_site_fract_z
K1 0.0000 0.0000 0.0000
Tl1 0.2774 0.0000 0.5470
Tl2 0.6728 0.5000 0.3430
Cu1 0.3408 0.5000 0.6878